Entry 1:
This record from the Alexandria database describes a geometry-optimized EuBO3 structure. The functional is PBE.

abc: 6.037 7.117 7.536
angles: 114.85 99.46 96.29
Atoms (fractional coordinates):
Eu 0.002 0.464 0.236
Eu 0.391 0.091 0.312
Eu 0.609 0.909 0.688
Eu 0.998 0.536 0.764
B 0.055 0.895 0.510
B 0.345 0.322 0.032
B 0.655 0.678 0.968
B 0.945 0.105 0.490
O 0.065 0.246 0.440
O 0.156 0.346 0.926
O 0.261 0.853 0.457
O 0.310 0.830 0.963
O 0.375 0.371 0.231
O 0.488 0.766 0.077
O 0.512 0.234 0.923
O 0.625 0.629 0.769
O 0.690 0.170 0.037
O 0.739 0.147 0.543
O 0.844 0.654 0.074
O 0.935 0.754 0.560

- Density of states at the Fermi level: 57.24 states/eV/cell
- Energy: -8.67 eV/atom
- Symmetry: P-1


Entry 2:
This record from the Alexandria database describes a geometry-optimized EuB4Os4 structure. The functional is PBE.

abc: 7.609 7.609 4.018
angles: 90.00 90.00 90.00
Atoms (fractional coordinates):
Eu 0.250 0.250 0.250
Eu 0.750 0.750 0.750
B 0.032 0.914 0.138
B 0.086 0.532 0.638
B 0.414 0.968 0.638
B 0.468 0.586 0.138
B 0.532 0.414 0.862
B 0.586 0.032 0.362
B 0.914 0.468 0.362
B 0.968 0.086 0.862
Os 0.105 0.641 0.136
Os 0.141 0.895 0.636
Os 0.359 0.605 0.636
Os 0.395 0.859 0.136
Os 0.605 0.141 0.864
Os 0.641 0.395 0.364
Os 0.859 0.105 0.364
Os 0.895 0.359 0.864

- Density of states at the Fermi level: 14.82 states/eV/cell
- DFT formation energy: -0.310 eV per atom
- Symmetry: P4_2/n


Entry 3:
This record from the Alexandria database describes a geometry-optimized Eu2B5Os3 structure. The functional is PBE.

abc: 5.740 5.740 8.085
angles: 122.60 122.60 41.62
Atoms (fractional coordinates):
Eu 0.164 0.164 0.264
Eu 0.836 0.836 0.736
B 0.147 0.143 0.812
B 0.495 0.505 0.000
B 0.698 0.249 0.380
B 0.751 0.302 0.620
B 0.857 0.853 0.188
Os 0.218 0.782 0.500
Os 0.353 0.381 0.096
Os 0.619 0.647 0.904

- Density of states at the Fermi level: 16.91 states/eV/cell
- DFT formation energy: -0.392 eV per atom
- Symmetry: C2


Entry 4:
This record from the Alexandria database describes a geometry-optimized EuB2Os structure. The functional is PBE.

abc: 5.423 5.423 5.423
angles: 39.75 39.75 39.75
Atoms (fractional coordinates):
Eu 0.000 0.000 0.000
B 0.198 0.198 0.198
B 0.802 0.802 0.802
Os 0.500 0.500 0.500

- Density of states at the Fermi level: 5.76 states/eV/cell
- DFT formation energy: 0.004 eV per atom
- Symmetry: R-3m


Entry 5:
This record from the Alexandria database describes a geometry-optimized EuBP2 structure. The functional is PBE.

abc: 6.720 6.720 6.720
angles: 40.25 40.25 40.25
Atoms (fractional coordinates):
Eu 0.000 0.000 0.000
B 0.500 0.500 0.500
P 0.404 0.404 0.404
P 0.596 0.596 0.596

- Density of states at the Fermi level: 4.58 states/eV/cell
- DFT formation energy: -0.188 eV per atom
- Symmetry: R-3m


Entry 6:
This record from the Alexandria database describes a geometry-optimized EuBPd structure. The functional is PBE.

abc: 3.798 3.798 4.410
angles: 90.00 90.00 120.00
Atoms (fractional coordinates):
Eu 0.000 0.000 0.000
B 0.667 0.333 0.500
Pd 0.333 0.667 0.500

- Density of states at the Fermi level: 3.80 states/eV/cell
- DFT formation energy: -0.222 eV per atom
- Symmetry: P-6m2


Entry 7:
This record from the Alexandria database describes a geometry-optimized Eu4BPd12 structure. The functional is PBE.

abc: 4.281 4.281 16.618
angles: 90.00 90.00 90.00
Atoms (fractional coordinates):
Eu 0.000 0.000 0.123
Eu 0.000 0.000 0.368
Eu 0.000 0.000 0.632
Eu 0.000 0.000 0.877
B 0.500 0.500 0.500
Pd 0.000 0.500 0.000
Pd 0.000 0.500 0.249
Pd 0.000 0.500 0.500
Pd 0.000 0.500 0.751
Pd 0.500 0.000 0.000
Pd 0.500 0.000 0.249
Pd 0.500 0.000 0.500
Pd 0.500 0.000 0.751
Pd 0.500 0.500 0.124
Pd 0.500 0.500 0.371
Pd 0.500 0.500 0.629
Pd 0.500 0.500 0.876

- Density of states at the Fermi level: 63.59 states/eV/cell
- DFT formation energy: -0.554 eV per atom
- Symmetry: P4/mmm


Entry 8:
This record from the Alexandria database describes a geometry-optimized EuBPd3 structure. The functional is PBE.

abc: 4.370 4.370 4.370
angles: 90.00 90.00 90.00
Atoms (fractional coordinates):
Eu 0.000 0.000 0.000
B 0.500 0.500 0.500
Pd 0.000 0.500 0.500
Pd 0.500 0.000 0.500
Pd 0.500 0.500 0.000

- Density of states at the Fermi level: 16.08 states/eV/cell
- DFT formation energy: -0.491 eV per atom
- Symmetry: Pm-3m


Entry 9:
This record from the Alexandria database describes a geometry-optimized EuBPt2 structure. The functional is PBE.

abc: 6.000 6.000 6.000
angles: 37.94 37.94 37.94
Atoms (fractional coordinates):
Eu 0.000 0.000 0.000
B 0.500 0.500 0.500
Pt 0.208 0.208 0.208
Pt 0.792 0.792 0.792

- Density of states at the Fermi level: 9.13 states/eV/cell
- DFT formation energy: -0.357 eV per atom
- Symmetry: R-3m


Entry 10:
This record from the Alexandria database describes a geometry-optimized Eu3B2Pt7 structure. The functional is PBE.

abc: 8.362 8.362 8.362
angles: 39.07 39.07 39.07
Atoms (fractional coordinates):
Eu 0.000 0.000 0.000
Eu 0.144 0.144 0.144
Eu 0.856 0.856 0.856
B 0.331 0.331 0.331
B 0.669 0.669 0.669
Pt 0.068 0.564 0.564
Pt 0.436 0.436 0.932
Pt 0.436 0.932 0.436
Pt 0.500 0.500 0.500
Pt 0.564 0.068 0.564
Pt 0.564 0.564 0.068
Pt 0.932 0.436 0.436

- Density of states at the Fermi level: 36.74 states/eV/cell
- DFT formation energy: -0.847 eV per atom
- Symmetry: R-3m


Entry 11:
This record from the Alexandria database describes a geometry-optimized EuBPt structure. The functional is PBE.

abc: 3.739 3.739 4.562
angles: 90.00 90.00 120.00
Atoms (fractional coordinates):
Eu 0.000 0.000 0.000
B 0.333 0.667 0.500
Pt 0.667 0.333 0.500

- Density of states at the Fermi level: 5.48 states/eV/cell
- DFT formation energy: -0.528 eV per atom
- Symmetry: P-6m2


Entry 12:
This record from the Alexandria database describes a geometry-optimized Eu2B4Rh5 structure. The functional is PBE.

abc: 7.547 6.292 5.715
angles: 77.72 54.55 47.73
Atoms (fractional coordinates):
Eu 0.144 0.144 0.856
Eu 0.856 0.856 0.144
B 0.209 0.531 0.469
B 0.469 0.791 0.209
B 0.531 0.209 0.791
B 0.791 0.469 0.531
Rh 0.000 0.000 0.500
Rh 0.250 0.250 0.250
Rh 0.500 0.500 0.000
Rh 0.500 0.500 0.500
Rh 0.750 0.750 0.750

- Density of states at the Fermi level: 18.77 states/eV/cell
- DFT formation energy: -0.627 eV per atom
- Symmetry: Fmmm